(1)
GGA-PBE AsPAuC, relaxed; DOS(E_F) = 0.66 states/eV/cell; density = 6.03 g cm⁻³; space group = No. 8; magnetic moment = 0.00 Bohr magnetons per cell; raw total energy = -5.2840 eV/atom; energy of formation from the pure elements = 0.36 eV/atom
1.0
6.6398 0.0000 -0.1520
0.0000 2.8710 0.0000
-2.5176 0.0000 9.1571
P As Au C
2 2 2 2
Direct
0.2163 0.0000 0.0932
0.2163 0.5000 0.5932
0.9662 0.0000 0.2866
0.9662 0.5000 0.7866
0.5737 0.0000 0.2334
0.5737 0.5000 0.7334
0.1304 0.0000 0.4911
0.1304 0.5000 0.9911

(2)
GGA-PBE AsPAuC, relaxed; DOS(E_F) = 1.30 states/eV/cell; density = 6.20 g cm⁻³; space group = No. 5; magnetic moment = 0.00 Bohr magnetons per cell; raw total energy = -5.2796 eV/atom; energy of formation from the pure elements = 0.36 eV/atom
1.0
-0.4743 -0.6463 -2.7852
-2.0701 -2.7746 4.0523
-4.2150 5.2910 -2.0299
P As Au C
1 1 1 1
Direct
0.3556 0.5010 0.5533
0.8542 0.2783 0.1093
0.3541 0.6790 0.9113
0.8552 0.4282 0.4079

(3)
GGA-PBE As2PtAuC, relaxed; DOS(E_F) = 2.65 states/eV/cell; density = 9.17 g cm⁻³; space group = No. 123; magnetic moment = 0.00 Bohr magnetons per cell; raw total energy = -4.1300 eV/atom; energy of formation from the pure elements = 1.44 eV/atom
1.0
-3.2925 3.9291 -0.7885
-2.8826 -2.3237 0.4576
-0.0091 1.0131 5.0866
As Au C Pt
2 1 1 1
Direct
0.0000 0.0000 0.5000
0.5000 0.0000 0.0000
0.0000 0.0000 0.0000
0.0000 0.5000 0.0000
0.5000 0.5000 0.5000